[1]
# Pm2HgTe (PBE, optimized geometry)
data_Pm2HgTe
_chemical_formula_sum 'Pm4 Hg2 Te2'
_symmetry_space_group_name_H-M 'P m m n'
_symmetry_Int_Tables_number 59
_cell_length_a 4.279
_cell_length_b 6.288
_cell_length_c 9.268
_cell_angle_alpha 90.00
_cell_angle_beta 90.00
_cell_angle_gamma 90.00
loop_
_symmetry_equiv_pos_as_xyz
'x,y,z'
'-x,-y,-z'
'-x+1/2,-y+1/2,z'
'x+1/2,y+1/2,-z'
'x+1/2,-y,-z'
'-x+1/2,y,z'
'-x,y+1/2,-z'
'x,-y+1/2,z'
loop_
_atom_site_label
_atom_site_type_symbol
_atom_site_fract_x
_atom_site_fract_y
_atom_site_fract_z
_atom_site_occupancy
Pm1 Pm 0.250 0.250 0.121 1
Pm2 Pm 0.250 0.250 0.628 1
Hg1 Hg 0.250 0.750 0.623 1
Te1 Te 0.250 0.750 0.125 1
# **Polymorph energy (0 for the lowest one)**: 2.0 kJ per mole of atoms
# **Formation energy without anion corrections**: -0.896 eV per atom
# **DOS(E_F)**: 6.19 states/eV per cell
# **Size of the total moment**: 0.000 μB per atom

[2]
# MnBeNb2H (PBE, optimized geometry)
data_MnBeNb2H
_chemical_formula_sum 'Mn1 Be1 Nb2 H1'
_symmetry_space_group_name_H-M 'P 4/m m m'
_symmetry_Int_Tables_number 123
_symmetry_space_group_name_Hall '-P 4 2'
_cell_length_a 4.159
_cell_length_b 4.159
_cell_length_c 3.372
_cell_angle_alpha 90.00
_cell_angle_beta 90.00
_cell_angle_gamma 90.00
loop_
_atom_site_label
_atom_site_type_symbol
_atom_site_fract_x
_atom_site_fract_y
_atom_site_fract_z
_atom_site_occupancy
Mn1 Mn 0.000 0.000 0.000 1
Be1 Be 0.500 0.500 0.000 1
Nb1 Nb 0.000 0.500 0.500 1
H1 H 0.500 0.500 0.500 1
# **Polymorph energy (0 for the lowest one)**: 2.9 kJ per mole of atoms
# **DOS(E_F)**: 2.82 states/eV per cell
# **Size of the total moment**: 0.078 μB per atom